Entry from Alexandria: a geometry-optimized InRuSe2 structure (PBE-GGA).

Summary:
- ΔE_f (raw): -0.17 eV/atom
- V: 174.8 Å³ per cell
- Energy: -4.91 eV/atom

a b c (Å): 6.6581 3.8473 7.1734
angles (deg): 90.00 107.93 90.00
Space group C2/m (No. 12)
Asymmetric unit:
In: 0.0000 0.0000 0.0000 [2 per cell]
Ru: 0.0000 0.5000 0.5000 [2 per cell]
Se: 0.2267 0.0000 0.6810 [4 per cell]